Entry 1:
# Ac5Zn2N2, relaxed, DFT GGA-PBE
data_Ac5Zn2N2
_chemical_formula_sum 'Ac20 Zn8 N8'
_space_group_name_H-M_alt 'I m a 2'
_space_group_IT_number 46
_cell_length_a 19.569
_cell_length_b 7.662
_cell_length_c 7.379
_cell_angle_alpha 90.00
_cell_angle_beta 90.00
_cell_angle_gamma 90.00
loop_
_space_group_symop_operation_xyz
'x,y,z'
'-x,-y,z'
'-x+1/2,y,z'
'x+1/2,-y,z'
'x+1/2,y+1/2,z+1/2'
'-x+1/2,-y+1/2,z+1/2'
'-x,y+1/2,z+1/2'
'x,-y+1/2,z+1/2'
loop_
_atom_site_label
_atom_site_type_symbol
_atom_site_fract_x
_atom_site_fract_y
_atom_site_fract_z
Ac1 Ac 0.014 0.246 0.000
Ac2 Ac 0.142 0.557 0.229
Ac3 Ac 0.250 0.126 0.148
Zn1 Zn 0.102 0.522 0.755
N1 N 0.000 0.000 0.742
N2 N 0.250 0.084 0.805
# Calculated volume = 1106.3 Å³ per cell
# Raw total energy = -179.06 eV per cell



Entry 2:
# AcZnN2, relaxed, DFT GGA-PBE
data_AcZnN2
_chemical_formula_sum 'Ac3 Zn3 N6'
_space_group_name_H-M_alt 'R -3 m'
_space_group_IT_number 166
_space_group_name_Hall '-R 3 2"'
_cell_length_a 4.0613
_cell_length_b 4.0613
_cell_length_c 17.9129
_cell_angle_alpha 90.00
_cell_angle_beta 90.00
_cell_angle_gamma 120.00
loop_
_atom_site_label
_atom_site_type_symbol
_atom_site_fract_x
_atom_site_fract_y
_atom_site_fract_z
Ac1 Ac 0.0000 0.0000 0.0000
Zn1 Zn 0.0000 0.0000 0.5000
N1 N 0.0000 0.0000 0.3986
# Calculated volume = 255.9 Å³ per cell
# Raw total energy = -69.79 eV per cell



Entry 3:
# Ac6Zn3N2, relaxed, DFT GGA-PBE
data_Ac6Zn3N2
_chemical_formula_sum 'Ac12 Zn6 N4'
_space_group_name_H-M_alt 'I 4/m m m'
_space_group_IT_number 139
_space_group_name_Hall '-I 4 2'
_cell_length_a 5.216
_cell_length_b 5.216
_cell_length_c 24.947
_cell_angle_alpha 90.00
_cell_angle_beta 90.00
_cell_angle_gamma 90.00
loop_
_atom_site_label
_atom_site_type_symbol
_atom_site_fract_x
_atom_site_fract_y
_atom_site_fract_z
Ac1 Ac 0.000 0.000 0.202
Ac2 Ac 0.000 0.500 0.085
Zn1 Zn 0.000 0.000 0.332
Zn2 Zn 0.000 0.000 0.500
N1 N 0.000 0.000 0.107
# Calculated volume = 678.6 Å³ per cell
# Raw total energy = -100.23 eV per cell



Entry 4:
# Ac3Zn2N, relaxed, DFT GGA-PBE
data_Ac3Zn2N
_chemical_formula_sum 'Ac12 Zn8 N4'
_space_group_name_H-M_alt 'C 1 2/c 1'
_space_group_IT_number 15
_cell_length_a 12.654
_cell_length_b 7.610
_cell_length_c 7.569
_cell_angle_alpha 90.00
_cell_angle_beta 102.88
_cell_angle_gamma 90.00
loop_
_space_group_symop_operation_xyz
'x,y,z'
'-x,-y,-z'
'-x,y,-z+1/2'
'x,-y,z+1/2'
'x+1/2,y+1/2,z'
'-x+1/2,-y+1/2,-z'
'-x+1/2,y+1/2,-z+1/2'
'x+1/2,-y+1/2,z+1/2'
loop_
_atom_site_label
_atom_site_type_symbol
_atom_site_fract_x
_atom_site_fract_y
_atom_site_fract_z
Ac1 Ac 0.000 0.095 0.250
Ac2 Ac 0.131 0.423 0.970
Zn1 Zn 0.182 0.177 0.626
N1 N 0.000 0.417 0.250
# Calculated volume = 710.6 Å³ per cell
# Raw total energy = -103.10 eV per cell



Entry 5:
# AcZnN, relaxed, DFT GGA-PBE
data_AcZnN
_chemical_formula_sum 'Ac4 Zn4 N4'
_space_group_name_H-M_alt 'C 1 2/m 1'
_space_group_IT_number 12
_cell_length_a 5.630
_cell_length_b 5.443
_cell_length_c 7.891
_cell_angle_alpha 90.00
_cell_angle_beta 95.21
_cell_angle_gamma 90.00
loop_
_space_group_symop_operation_xyz
'x,y,z'
'-x,-y,-z'
'-x,y,-z'
'x,-y,z'
'x+1/2,y+1/2,z'
'-x+1/2,-y+1/2,-z'
'-x+1/2,y+1/2,-z'
'x+1/2,-y+1/2,z'
loop_
_atom_site_label
_atom_site_type_symbol
_atom_site_fract_x
_atom_site_fract_y
_atom_site_fract_z
Ac1 Ac 0.223 0.000 0.327
Zn1 Zn 0.201 0.500 0.083
N1 N 0.235 0.500 0.348
# Calculated volume = 240.8 Å³ per cell
# Raw total energy = -63.43 eV per cell



Entry 6:
# Ac4Zn2N, relaxed, DFT GGA-PBE
data_Ac4Zn2N
_chemical_formula_sum 'Ac8 Zn4 N2'
_space_group_name_H-M_alt 'C 1 2/m 1'
_space_group_IT_number 12
_cell_length_a 13.783
_cell_length_b 4.097
_cell_length_c 9.066
_cell_angle_alpha 90.00
_cell_angle_beta 125.48
_cell_angle_gamma 90.00
loop_
_space_group_symop_operation_xyz
'x,y,z'
'-x,-y,-z'
'-x,y,-z'
'x,-y,z'
'x+1/2,y+1/2,z'
'-x+1/2,-y+1/2,-z'
'-x+1/2,y+1/2,-z'
'x+1/2,-y+1/2,z'
loop_
_atom_site_label
_atom_site_type_symbol
_atom_site_fract_x
_atom_site_fract_y
_atom_site_fract_z
Ac1 Ac 0.083 0.000 0.346
Ac2 Ac 0.154 0.500 0.071
Zn1 Zn 0.115 0.500 0.663
N1 N 0.000 0.000 0.000
# Relative energy among the computed polymorphs = 0 meV/atom
# Calculated volume = 416.9 Å³ per cell



Entry 7:
# Ac2ZnN2, relaxed, DFT GGA-PBE
data_Ac2ZnN2
_chemical_formula_sum 'Ac4 Zn2 N4'
_space_group_name_H-M_alt 'I 4/m m m'
_space_group_IT_number 139
_space_group_name_Hall '-I 4 2'
_cell_length_a 3.937
_cell_length_b 3.937
_cell_length_c 13.054
_cell_angle_alpha 90.00
_cell_angle_beta 90.00
_cell_angle_gamma 90.00
loop_
_atom_site_label
_atom_site_type_symbol
_atom_site_fract_x
_atom_site_fract_y
_atom_site_fract_z
Ac1 Ac 0.000 0.000 0.150
Zn1 Zn 0.000 0.000 0.500
N1 N 0.000 0.000 0.343
# Calculated volume = 202.4 Å³ per cell
# Raw total energy = -60.14 eV per cell



Entry 8:
# Ac4Zn2N, relaxed, DFT GGA-PBE
data_Ac4Zn2N
_chemical_formula_sum 'Ac8 Zn4 N2'
_space_group_name_H-M_alt 'I 4/m m m'
_space_group_IT_number 139
_space_group_name_Hall '-I 4 2'
_cell_length_a 5.345
_cell_length_b 5.345
_cell_length_c 15.358
_cell_angle_alpha 90.00
_cell_angle_beta 90.00
_cell_angle_gamma 90.00
loop_
_atom_site_label
_atom_site_type_symbol
_atom_site_fract_x
_atom_site_fract_y
_atom_site_fract_z
Ac1 Ac 0.000 0.000 0.175
Ac2 Ac 0.000 0.500 0.000
Zn1 Zn 0.000 0.000 0.379
N1 N 0.000 0.000 0.000
# Relative energy among the computed polymorphs = 23 meV/atom
# Calculated volume = 438.7 Å³ per cell



What did the second record say?
# AcZnN2, relaxed, DFT GGA-PBE
data_AcZnN2
_chemical_formula_sum 'Ac3 Zn3 N6'
_space_group_name_H-M_alt 'R -3 m'
_space_group_IT_number 166
_space_group_name_Hall '-R 3 2"'
_cell_length_a 4.0613
_cell_length_b 4.0613
_cell_length_c 17.9129
_cell_angle_alpha 90.00
_cell_angle_beta 90.00
_cell_angle_gamma 120.00
loop_
_atom_site_label
_atom_site_type_symbol
_atom_site_fract_x
_atom_site_fract_y
_atom_site_fract_z
Ac1 Ac 0.0000 0.0000 0.0000
Zn1 Zn 0.0000 0.0000 0.5000
N1 N 0.0000 0.0000 0.3986
# Calculated volume = 255.9 Å³ per cell
# Raw total energy = -69.79 eV per cell



- What is the calculated volume in the sixth record?
  416.9 Å³ per cell